1.
Here is an optimized crystal structure of CeMn2SiO6 from Alexandria via LeMat-Bulk. Energies are from PBE+U.

a b c (Å): 5.337 5.338 5.640
angles (deg): 61.77 61.77 60.00
Fractional positions:
1 O 0.982 0.558 0.242
2 O 0.416 0.666 0.793
3 Ce 0.811 0.811 0.567
4 Mn 0.027 0.027 0.919
5 O 0.666 0.126 0.793
6 O 0.558 0.218 0.242
7 O 0.126 0.416 0.793
8 O 0.218 0.982 0.242
9 Si 0.320 0.320 0.040
10 Mn 0.539 0.539 0.384

2.
Here is an optimized crystal structure of CeMn2SnO6 from Alexandria via LeMat-Bulk. Energies are from PBE+U.

a b c (Å): 5.556 5.556 5.905
angles (deg): 61.93 61.93 60.00
Fractional positions:
1 Ce 0.810 0.810 0.570
2 Mn 0.529 0.529 0.412
3 O 0.217 0.937 0.251
4 O 0.703 0.123 0.766
5 O 0.937 0.595 0.251
6 Mn 0.024 0.024 0.929
7 O 0.595 0.217 0.251
8 Sn 0.316 0.316 0.051
9 O 0.408 0.703 0.767
10 O 0.123 0.408 0.766

no.,raw total energy (eV/atom)
1,-7.97
2,-7.60